Below is a geometry-optimized Li2HoPCO7 structure, with properties calculated at the PBE-GGA level.

```
Li2HoPCO7
1.0
4.772 0.000 0.000
0.000 6.665 0.000
-1.172 0.000 9.476
Li Ho P C O
4 2 2 2 14
direct
0.205 0.000 0.331 Li
0.205 0.500 0.331 Li
0.795 0.000 0.669 Li
0.795 0.500 0.669 Li
0.261 0.250 0.873 Ho
0.739 0.750 0.127 Ho
0.252 0.750 0.892 P
0.748 0.250 0.108 P
0.273 0.250 0.576 C
0.727 0.750 0.424 C
0.027 0.250 0.623 O
0.125 0.561 0.816 O
0.125 0.939 0.816 O
0.204 0.750 0.052 O
0.301 0.250 0.445 O
0.421 0.250 0.103 O
0.494 0.250 0.674 O
0.506 0.750 0.326 O
0.579 0.750 0.897 O
0.699 0.750 0.555 O
0.796 0.250 0.948 O
0.875 0.061 0.184 O
0.875 0.439 0.184 O
0.973 0.750 0.377 O
```

* final energy: -7.196 eV/atom
* symmetry: No. 11
* formation energy (no corrections): -2384 meV/atom